No. 1
PBE Ca2InGa2, relaxed; electronic total energy = -27.55 eV for the cell shown; volume = 274.25 Å³ per cell; energy of formation from the pure elements = -196 meV per atom; relative energy among the computed polymorphs = 260.9 meV per atom
1.0
8.6940 0.0000 0.0000
0.0000 8.6940 0.0000
0.0000 0.0000 3.6284
Ca In Ga
4 2 4
Direct
0.1831 0.3169 0.0000
0.3169 0.8169 0.0000
0.6831 0.1831 0.0000
0.8169 0.6831 0.0000
0.0000 0.0000 0.0000
0.5000 0.5000 0.0000
0.1096 0.6096 0.5000
0.3904 0.1096 0.5000
0.6096 0.8904 0.5000
0.8904 0.3904 0.5000

No. 2
PBE ScPb2I, relaxed; electronic total energy = -30.53 eV for the cell shown; volume = 247.11 Å³ per cell; relative energy among the computed polymorphs = 0.0 meV per atom; uncorrected formation energy = 8 meV per atom
1.0
-2.2161 2.2161 12.5795
2.2161 -2.2161 12.5795
2.2161 2.2161 -12.5795
Sc Pb I
2 4 2
Direct
0.0000 0.0000 0.0000
0.7500 0.2500 0.5000
0.1131 0.6250 0.9881
0.3750 0.3631 0.4881
0.6369 0.1250 0.0119
0.8750 0.8869 0.5119
0.2500 0.7500 0.5000
0.5000 0.5000 0.0000

No. 3
PBE Pm7Ni3, relaxed; electronic total energy = -105.41 eV for the cell shown; volume = 531.89 Å³ per cell; energy of formation from the pure elements = -211 meV per atom
1.0
9.8598 0.0000 0.0000
-4.9299 8.5388 0.0000
0.0000 0.0000 6.3177
Pm Ni
14 6
Direct
0.0780 0.5390 0.0000
0.1258 0.2516 0.6898
0.1258 0.8742 0.6898
0.2516 0.1258 0.1898
0.3333 0.6667 0.4754
0.4610 0.5390 0.0000
0.4610 0.9220 0.0000
0.5390 0.0780 0.5000
0.5390 0.4610 0.5000
0.6667 0.3333 0.9754
0.7484 0.8742 0.6898
0.8742 0.1258 0.1898
0.8742 0.7484 0.1898
0.9220 0.4610 0.5000
0.1890 0.3780 0.2469
0.1890 0.8110 0.2469
0.3780 0.1890 0.7469
0.6220 0.8110 0.2469
0.8110 0.1890 0.7469
0.8110 0.6220 0.7469